1.
A relaxed CrCu2Te8 crystal, computed with PBE-GGA.

The structure in extended XYZ format:
```
11
Lattice="7.270 -3.605 0.000 7.270 3.605 0.000 -0.004 0.000 6.050" Properties=species:S:1:pos:R:3 pbc="T T T"
Cr 0.000 0.000 0.000
Cu 2.610 0.000 3.565
Cu 11.926 0.000 2.485
Te 2.515 0.000 1.007
Te 6.414 1.786 1.894
Te 8.121 1.786 4.156
Te 4.563 0.000 5.161
Te 9.973 0.000 0.889
Te 6.414 -1.786 1.894
Te 8.121 -1.786 4.156
Te 12.020 0.000 5.043
```

* VASP energy: -3.89 eV/atom
* energy relative to the elements, uncorrected: 0.1 eV/f.u.
* space-group type: C2/m (12)

2.
A relaxed Ta3GaCo crystal, computed with PBE-GGA.

The structure in extended XYZ format:
```
5
Lattice="4.573 0.000 0.000 0.000 4.573 0.000 0.000 0.000 4.573" Properties=species:S:1:pos:R:3 pbc="T T T"
Ta 0.000 0.000 2.287
Ta 0.000 2.287 0.000
Ta 2.287 0.000 0.000
Ga 2.287 2.287 2.287
Co 0.000 0.000 0.000
```

* VASP energy: -8.50 eV/atom
* DFT formation energy: 0.64 eV/atom
* space-group type: Pm-3m (221)

3.
A relaxed Pm2Pr9Th crystal, computed with PBE-GGA.

The structure in extended XYZ format:
```
12
Lattice="5.219 0.000 0.000 0.000 5.219 0.000 0.000 0.000 15.664" Properties=species:S:1:pos:R:3 pbc="T T T"
Pm 0.000 0.000 2.619
Pm 0.000 0.000 13.046
Pr 0.000 2.610 0.000
Pr 0.000 2.610 5.280
Pr 0.000 2.610 10.385
Pr 2.610 0.000 0.000
Pr 2.610 0.000 5.280
Pr 2.610 0.000 10.385
Pr 2.610 2.610 2.605
Pr 2.610 2.610 7.832
Pr 2.610 2.610 13.059
Th 0.000 0.000 7.832
```

* VASP energy: -4.97 eV/atom
* DFT formation energy: 0.03 eV/atom
* space-group type: P4/mmm (123)

4.
A relaxed Ca2NbTcO6 crystal, computed with PBE-GGA.

The structure in extended XYZ format:
```
10
Lattice="5.694 0.000 0.000 0.000 5.694 0.000 0.000 0.000 4.006" Properties=species:S:1:pos:R:3 pbc="T T T"
Ca 0.000 2.847 0.000
Ca 2.847 0.000 0.000
Nb 0.000 0.000 2.388
Tc 2.847 2.847 2.502
O 0.000 0.000 0.445
O 1.409 1.409 2.536
O 1.409 4.285 2.536
O 2.847 2.847 0.501
O 4.285 1.409 2.536
O 4.285 4.285 2.536
```

* VASP energy: -7.78 eV/atom
* energy relative to the elements, uncorrected: -23.6 eV/f.u.
* space-group type: P4mm (99)

5.
A relaxed MgScSn2 crystal, computed with PBE-GGA.

The structure in extended XYZ format:
```
4
Lattice="2.231 1.288 6.095 -2.231 1.288 6.095 0.000 -2.577 6.095" Properties=species:S:1:pos:R:3 pbc="T T T"
Mg 0.000 0.000 0.000
Sc 0.000 0.000 3.280
Sn 0.000 0.000 10.806
Sn 0.000 0.000 13.831
```

* VASP energy: -4.25 eV/atom
* DFT formation energy: -0.27 eV/atom
* space-group type: R3m (160)